Arrangement 1

# RbMo3Ru

A relaxed RbMo3Ru crystal (GGA-PBE, Alexandria via LeMat-Bulk).

Calculated values
As for the space group: Pm-3m, No. 221. The density of states at the Fermi level is 5.4 states/eV/cell. The calculated density comes out at 8.1 g/cm³. The crystal system is cubic. The total moment is 1.4 μB per formula unit.

Cell lengths 4.5976, 4.5976, 4.5976 Å; angles 90.00, 90.00, 90.00 degrees
Closest atoms and distances in Å follow each position.
Sites, in units of the cell vectors:
Rb: 0.0000 0.0000 0.0000  6 Mo 2.30
Mo: 0.5000 0.0000 0.0000  2 Rb 2.30
Mo: 0.0000 0.0000 0.5000  2 Rb 2.30
Mo: 0.0000 0.5000 0.0000  2 Rb 2.30
Ru: 0.5000 0.5000 0.5000  12 Mo 3.25


Arrangement 2

# RbMo3Ru

A relaxed RbMo3Ru crystal (GGA-PBE, Alexandria via LeMat-Bulk).

Calculated values
As for the space group: Pm-3m, No. 221. The density of states at the Fermi level is 3.8 states/eV/cell. The calculated density comes out at 6.7 g/cm³. The crystal system is cubic. The total moment is 3.8 μB per formula unit.

Cell lengths 4.9003, 4.9003, 4.9003 Å; angles 90.00, 90.00, 90.00 degrees
Closest atoms and distances in Å follow each position.
Sites, in units of the cell vectors:
Mo: 0.5000 0.0000 0.0000  2 Ru 2.45
Mo: 0.0000 0.0000 0.5000  2 Ru 2.45
Mo: 0.0000 0.5000 0.0000  2 Ru 2.45
Ru: 0.0000 0.0000 0.0000  6 Mo 2.45
Rb: 0.5000 0.5000 0.5000  12 Mo 3.47


Stability ranking, top entry: arrangement 2; the second entry is 158.2 kJ/mol of atoms less favorable.